1.
## BeFeO2F (GGA-PBEsol)

Data for an optimized crystal structure of BeFeO2F.

abc: 3.518 3.518 3.241
angles: 90.00 90.00 90.00
Space group P4/mmm (No. 123)
Asymmetric unit:
Be 0.000 0.000 0.000 (multiplicity 1)
Fe 0.500 0.500 0.500 (multiplicity 1)
O 0.000 0.500 0.000 (multiplicity 2)
F 0.000 0.000 0.500 (multiplicity 1)

Values from the calculation:
Total magnetic moment ... 4.9 Bohr magnetons per cell
Density ... 4.795 g/cm3
N(E_F) ... 1.54 states/eV/cell
Calculated total energy ... -6.406 eV/atom
E_form (uncorrected) ... -1.33 eV per atom

***

2.
## BeFeRhF2 (GGA-PBEsol)

Data for an optimized crystal structure of BeFeRhF2.

abc: 3.580 3.580 5.170
angles: 90.00 90.00 90.00
Space group P4/mmm (No. 123)
Asymmetric unit:
Be 0.000 0.000 0.000 (multiplicity 1)
Fe 0.500 0.500 0.500 (multiplicity 1)
Rh 0.500 0.500 0.000 (multiplicity 1)
F 0.000 0.500 0.500 (multiplicity 2)

Values from the calculation:
Total magnetic moment ... 3.5 Bohr magnetons per cell
Density ... 5.157 g/cm3
N(E_F) ... 2.86 states/eV/cell
Calculated total energy ... -5.462 eV/atom
E_form (uncorrected) ... -0.47 eV per atom